Hf2TaZnMo at its PBEsol-relaxed geometry. Source: Alexandria via LeMat-Bulk, functional SCAN.

```
Hf2TaZnMo
1.0
-2.130 -1.119 -3.944
0.736 -4.891 0.990
-4.415 -0.171 2.433
Ta Mo Hf Zn
1 1 2 1
direct
0.000 0.000 0.000
0.500 0.000 0.000
0.000 0.500 0.000
0.000 0.000 0.500
0.500 0.500 0.500
```

Computed properties:
Its space-group type is P4/mmm (123). For the formation energy, the calculation gives 126.7 kJ per mole of atoms. The calculation puts the total energy at -233.765 eV/cell. Its mass density is 9.880 g cm⁻³.

ZnFeO2 at its PBEsol-relaxed geometry. Source: Alexandria via LeMat-Bulk, functional SCAN.

```
ZnFeO2
1.0
-4.172 -1.311 -1.474
1.547 -4.314 -0.539
0.132 1.867 5.189
O Fe Zn
4 2 2
direct
0.875 0.375 0.250
0.625 0.625 0.750
0.375 0.875 0.250
0.125 0.125 0.750
0.500 0.500 0.000
0.750 0.250 0.500
0.000 0.000 0.000
0.250 0.750 0.500
```

Computed properties:
Its space-group type is I-42d (122). The calculation puts the total energy at -99.204 eV/cell. The value obtained for the uncorrected formation energy is -1.37 eV per atom. Its mass density is 5.375 g cm⁻³.

TcPt2Br at its PBEsol-relaxed geometry. Source: Alexandria via LeMat-Bulk, functional SCAN.

```
TcPt2Br
1.0
2.790 0.000 0.000
-1.395 2.421 0.000
0.000 0.000 9.627
Tc Br Pt
1 1 2
direct
0.000 0.000 0.496
0.500 0.000 0.724
0.500 0.000 0.264
0.000 0.000 0.017
```

Computed properties:
Its space-group type is Cmm2 (35). The calculation puts the total energy at -192.569 eV/cell. The calculation puts the polymorph energy (0 for the lowest one) at 7.12 kcal/mol of atoms. The value obtained for the uncorrected formation energy is 0.58 eV per atom. Its mass density is 14.502 g cm⁻³.

LaCrBr2 at its PBEsol-relaxed geometry. Source: Alexandria via LeMat-Bulk, functional SCAN.

```
LaCrBr2
1.0
-2.418 1.212 2.860
-3.619 0.224 -3.154
-1.134 -4.567 0.977
Cr Br La
1 2 1
direct
0.500 0.500 0.500
0.000 0.500 0.000
0.000 0.000 0.500
0.500 0.000 0.000
```

Computed properties:
Its space-group type is P4/mmm (123). The calculation puts the total energy at -103.546 eV/cell. The calculation puts the polymorph energy (0 for the lowest one) at 3.32 kcal/mol of atoms. The value obtained for the uncorrected formation energy is -0.78 eV per atom. Its mass density is 6.405 g cm⁻³.

NiRu3 at its PBEsol-relaxed geometry. Source: Alexandria via LeMat-Bulk, functional SCAN.

```
NiRu3
1.0
3.667 0.000 0.000
0.000 3.667 0.000
-1.833 -1.833 3.775
Ru Ni
3 1
direct
0.500 0.500 0.000
0.250 0.750 0.500
0.750 0.250 0.500
0.000 0.000 0.000
```

Computed properties:
Its space-group type is I4/mmm (139). For the formation energy, the calculation gives 18.3 kJ per mole of atoms. The calculation puts the total energy at -119.892 eV/cell. Its mass density is 11.839 g cm⁻³.

LiSe2Cl at its PBEsol-relaxed geometry. Source: Alexandria via LeMat-Bulk, functional SCAN.

```
LiSe2Cl
1.0
-1.649 1.443 1.888
-0.988 -1.331 2.370
8.474 3.259 7.125
Cl Li Se
1 1 2
direct
0.500 0.500 0.500
0.000 0.000 0.000
0.070 0.070 0.791
0.930 0.930 0.209
```

Computed properties:
Its space-group type is R-3m (166). The calculation puts the total energy at -50.202 eV/cell. The calculation puts the polymorph energy (0 for the lowest one) at 20.91 kcal/mol of atoms. The value obtained for the uncorrected formation energy is 0.08 eV per atom. Its mass density is 4.020 g cm⁻³.

P2Pd2Pb at its PBEsol-relaxed geometry. Source: Alexandria via LeMat-Bulk, functional SCAN.

```
P2Pd2Pb
1.0
4.382 0.000 0.000
0.000 4.382 0.000
-2.191 -2.191 4.766
Pd Pb P
2 1 2
direct
0.646 0.646 0.291
0.354 0.354 0.709
0.000 0.000 0.000
0.250 0.750 0.500
0.750 0.250 0.500
```

Computed properties:
Its space-group type is I4/mmm (139). For the formation energy, the calculation gives -6.5 kJ per mole of atoms. The calculation puts the total energy at -162.466 eV/cell. Its mass density is 8.746 g cm⁻³.

GdSi2Pd2 at its PBEsol-relaxed geometry. Source: Alexandria via LeMat-Bulk, functional SCAN.

```
GdSi2Pd2
1.0
-3.459 -0.849 2.044
1.324 -3.833 0.649
3.212 3.799 2.888
Gd Si Pd
1 2 2
direct
0.000 0.000 0.000
0.617 0.617 0.234
0.383 0.383 0.766
0.250 0.750 0.500
0.750 0.250 0.500
```

Computed properties:
Its space-group type is I4/mmm (139). The calculation puts the total energy at -149.293 eV/cell. The value obtained for the uncorrected formation energy is -0.98 eV per atom. Its mass density is 8.452 g cm⁻³.

Which of these has the lowest mass density? LiSe2Cl

Look up the mass density of the eighth one. 8.452 g cm⁻³